First-principles (PBE) data for a relaxed Cs2KCdS crystal, as listed in Alexandria via LeMat-Bulk.

Cell lengths 6.829, 6.829, 6.069 Å; angles 90.00, 90.00, 90.00 degrees
Positions (direct):
Cs: 0.000 0.500 0.000
Cs: 0.500 0.000 0.000
K: 0.000 0.000 0.500
Cd: 0.500 0.500 0.500
S: 0.000 0.000 0.000

E (eV/atom): -2.06
Calculated volume (Å³/atom): 56.6
Raw formation energy (eV/atom): -0.494

---

First-principles (PBE) data for a relaxed TaIrC3 crystal, as listed in Alexandria via LeMat-Bulk.

Cell lengths 3.932, 3.932, 3.932 Å; angles 90.00, 90.00, 90.00 degrees
Positions (direct):
Ta: 0.000 0.000 0.000
Ir: 0.500 0.500 0.500
C: 0.000 0.500 0.500
C: 0.500 0.000 0.500
C: 0.500 0.500 0.000

E (eV/atom): -7.54
Calculated volume (Å³/atom): 12.2

---

First-principles (PBE) data for a relaxed K4PtRh crystal, as listed in Alexandria via LeMat-Bulk.

Cell lengths 6.248, 6.248, 6.248 Å; angles 60.00, 60.00, 60.00 degrees
Positions (direct):
K: 0.124 0.124 0.124
K: 0.124 0.124 0.627
K: 0.124 0.627 0.124
K: 0.627 0.124 0.124
Pt: 0.750 0.750 0.750
Rh: 0.500 0.500 0.500

E (eV/atom): -2.07
Calculated volume (Å³/atom): 28.7

---

First-principles (PBE) data for a relaxed Sr2CoMo crystal, as listed in Alexandria via LeMat-Bulk.

Cell lengths 6.474, 6.474, 6.474 Å; angles 146.84, 131.72, 59.83 degrees
Positions (direct):
Sr: 0.000 0.000 0.000
Sr: 0.715 0.215 0.500
Co: 0.290 0.790 0.500
Mo: 0.403 0.403 0.000

E (eV/atom): -4.73
Calculated volume (Å³/atom): 27.4

---

First-principles (PBE) data for a relaxed LiTbZnRh crystal, as listed in Alexandria via LeMat-Bulk.

Cell lengths 4.638, 4.638, 4.638 Å; angles 60.00, 60.00, 60.00 degrees
Positions (direct):
Li: 0.000 0.000 0.000
Tb: 0.250 0.250 0.250
Zn: 0.750 0.750 0.750
Rh: 0.500 0.500 0.500

E (eV/atom): -4.23
Calculated volume (Å³/atom): 17.6

---

First-principles (PBE) data for a relaxed Tb2Zn2CuPd5 crystal, as listed in Alexandria via LeMat-Bulk.

Cell lengths 9.602, 9.602, 3.771 Å; angles 90.00, 90.00, 90.00 degrees
Positions (direct):
Tb: 0.177 0.323 0.000
Tb: 0.323 0.823 0.000
Tb: 0.677 0.177 0.000
Tb: 0.823 0.677 0.000
Zn: 0.122 0.622 0.000
Zn: 0.378 0.122 0.000
Zn: 0.622 0.878 0.000
Zn: 0.878 0.378 0.000
Cu: 0.000 0.000 0.000
Cu: 0.500 0.500 0.000
Pd: 0.000 0.500 0.500
Pd: 0.066 0.800 0.500
Pd: 0.200 0.066 0.500
Pd: 0.300 0.566 0.500
Pd: 0.434 0.300 0.500
Pd: 0.500 0.000 0.500
Pd: 0.566 0.700 0.500
Pd: 0.700 0.434 0.500
Pd: 0.800 0.934 0.500
Pd: 0.934 0.200 0.500

E (eV/atom): -4.79
Calculated volume (Å³/atom): 17.4

---

- Which formula does entry 5 have?
  LiTbZnRh